i:
This record from the Alexandria database describes a relaxed structure of AcHo2Ir. The functional is PBE.

Computed properties:
- theoretical density (g/cm3) = 9.5
- total magnetization (μB/f.u.) = 0.000
- space-group type = R3m, No. 160

The structure in POSCAR format:
```
AcHo2Ir
1.0
2.0555 1.1867 8.9838
-2.0555 1.1867 8.9838
0.0000 -2.3735 8.9838
Ac Ho Ir
1 2 1
Cartesian
0.0000 0.0000 0.0000
0.0000 0.0000 14.8065
0.0000 0.0000 21.0089
0.0000 0.0000 4.4338
```

***

ii:
This record from the Alexandria database describes a relaxed structure of AcHo2Ir. The functional is PBE.

Computed properties:
- theoretical density (g/cm3) = 10.8
- total magnetization (μB/f.u.) = 0.000
- space-group type = P4/mmm, No. 123

The structure in POSCAR format:
```
AcHo2Ir
1.0
3.5533 0.0000 0.0000
0.0000 3.5533 0.0000
0.0000 0.0000 9.1080
Ac Ho Ir
1 2 1
Cartesian
0.0000 0.0000 0.0000
1.7766 1.7766 2.9730
1.7766 1.7766 6.1349
0.0000 0.0000 4.5540
```

***

Which structure above is the least stable? It is ii.